The following is a PBE calculation of a relaxed structure of PaTiMn4, from the Alexandria database.

- space group = F-43m, No. 216
- energy of formation from the pure elements (meV/atom) = -62.2
- calculated volume (Å³ per cell) = 86.7

Cell and atoms, written as CIF:
```
data_PaTiMn4
_space_group_name_H-M_alt 'P 1'
_space_group_IT_number 1
_cell_length_a 4.969
_cell_length_b 4.969
_cell_length_c 4.969
_cell_angle_alpha 60.00
_cell_angle_beta 60.00
_cell_angle_gamma 60.00
loop_
_space_group_symop_operation_xyz
'x,y,z'
loop_
_atom_site_label
_atom_site_type_symbol
_atom_site_fract_x
_atom_site_fract_y
_atom_site_fract_z
Pa1 Pa 0.250 0.250 0.250
Mn1 Mn 0.626 0.626 0.123
Mn2 Mn 0.626 0.123 0.626
Mn3 Mn 0.626 0.626 0.626
Mn4 Mn 0.123 0.626 0.626
Ti1 Ti 0.000 0.000 0.000
```